Record 1
Compound: LiVP2HO8
Source: Alexandria
Functional: SCAN
Structure: single point on PBEsol structure

Cell and atoms, written as POSCAR:
```
LiVP2HO8
1.0
4.814 0.000 0.000
0.000 7.835 0.000
-2.915 0.000 7.108
Li V P H O
2 2 4 2 16
Cartesian
0.000 0.963 0.000 Li
-1.458 6.872 3.554 Li
-1.620 2.014 4.558 V
-0.163 5.821 1.004 V
0.878 0.742 2.712 P
-0.580 7.092 6.266 P
0.620 3.184 6.443 P
2.078 4.651 2.889 P
2.295 1.994 0.983 H
0.838 5.841 4.537 H
-1.213 0.630 5.934 O
0.245 7.205 2.380 O
-0.183 1.509 3.560 O
1.274 6.325 0.006 O
-0.589 3.317 5.509 O
0.869 4.517 1.955 O
1.167 1.481 1.418 O
-0.291 6.353 4.972 O
3.272 2.337 0.596 O
1.814 5.498 4.150 O
2.134 0.581 3.603 O
3.592 7.254 0.050 O
2.574 3.258 3.291 O
1.116 4.577 6.845 O
1.739 2.391 5.710 O
3.197 5.444 2.156 O
```

Output
- Total DFT energy (no corrections): -249.42 eV/cell
- V: 268.1 Å³ per cell



Record 2
Compound: LiVP2H2O8
Source: Alexandria
Functional: SCAN
Structure: single point on PBEsol structure

Cell and atoms, written as POSCAR:
```
LiVP2H2O8
1.0
6.757 0.000 0.000
0.000 7.725 0.000
0.000 0.000 5.326
Li V P H O
2 2 4 4 16
Cartesian
0.000 0.000 0.456 Li
3.378 3.862 4.870 Li
0.000 3.862 4.026 V
3.378 0.000 1.300 V
1.482 5.030 1.396 P
1.897 1.168 3.930 P
4.860 6.557 3.930 P
5.275 2.695 1.396 P
0.068 1.619 2.400 H
3.310 5.482 2.926 H
3.447 2.243 2.926 H
6.688 6.105 2.400 H
0.302 6.082 1.437 O
0.518 1.875 3.884 O
1.358 4.161 2.646 O
1.399 4.227 0.091 O
1.979 0.365 5.235 O
2.020 0.299 2.680 O
2.861 5.737 1.442 O
3.076 2.220 3.889 O
3.680 5.505 3.889 O
3.896 1.987 1.442 O
4.736 7.426 2.680 O
4.777 7.360 5.235 O
5.358 3.497 0.091 O
5.398 3.563 2.646 O
6.239 5.849 3.884 O
6.454 1.643 1.437 O
```

Output
- Total DFT energy (no corrections): -258.45 eV/cell
- V: 278.0 Å³ per cell
- Offset from the most stable computed form: 0.0 kJ per mole of atoms



Record 3
Compound: LiVP2HO8
Source: Alexandria
Functional: SCAN
Structure: single point on PBEsol structure

Cell and atoms, written as POSCAR:
```
LiVP2HO8
1.0
4.822 0.000 0.000
0.000 7.837 0.000
-1.874 0.000 7.096
Li V P H O
2 2 4 2 16
Cartesian
0.524 0.000 0.722 Li
2.425 3.918 6.374 Li
0.758 4.885 1.869 V
2.191 0.967 5.227 V
-0.348 7.605 3.438 P
1.798 2.217 0.075 P
1.150 6.135 7.022 P
3.297 3.687 3.658 P
-0.072 4.953 5.381 H
3.021 1.035 1.715 H
-1.224 4.426 4.948 O
-0.323 3.563 2.706 O
-1.156 1.410 6.406 O
0.189 6.204 3.091 O
1.211 3.588 0.447 O
0.759 0.526 4.242 O
1.763 6.298 0.801 O
2.054 1.385 1.348 O
0.895 5.303 5.748 O
1.186 2.380 6.295 O
2.189 4.444 2.854 O
1.738 7.506 6.649 O
2.760 2.286 4.005 O
4.104 5.328 0.690 O
3.271 7.482 4.390 O
4.172 0.508 2.148 O
```

Output
- Total DFT energy (no corrections): -249.42 eV/cell
- V: 268.1 Å³ per cell